[1]
Li2TiSn3Se6 | GGA-PBE | relaxed

Structure (POSCAR):
```
Li2TiSn3Se6
1.0
6.990 0.011 0.028
-3.484 6.060 0.028
-1.143 -1.980 6.694
Li Ti Sn Se
2 1 3 6
Direct
0.326 0.674 0.000 Li
0.674 0.326 0.000 Li
0.000 0.000 0.000 Ti
0.165 0.835 0.500 Sn
0.835 0.165 0.500 Sn
0.500 0.500 0.500 Sn
0.924 0.618 0.786 Se
0.767 0.767 0.233 Se
0.076 0.382 0.214 Se
0.618 0.924 0.786 Se
0.233 0.233 0.767 Se
0.382 0.076 0.214 Se
```

## Properties
- Formation energy (no corrections): -0.7713 eV per atom
- Symmetry: C2/m (12)
- DOS at the Fermi energy: 1.10 states/eV/cell
- Theoretical density: 5.20 g cm⁻³
- Crystal system: monoclinic
- Size of the total moment: 0.009 μB/atom

=====

[2]
LiTlSnSe2 | GGA-PBE | relaxed

Structure (POSCAR):
```
LiTlSnSe2
1.0
-1.548 -2.715 2.818
-3.882 -5.916 -4.690
5.403 -6.836 -0.475
Li Tl Sn Se
2 2 2 4
Direct
0.066 0.050 0.818 Li
0.934 0.950 0.182 Li
0.804 0.750 0.642 Tl
0.196 0.250 0.358 Tl
0.406 0.387 0.800 Sn
0.594 0.613 0.200 Sn
0.388 0.869 0.355 Se
0.612 0.131 0.645 Se
0.865 0.263 0.008 Se
0.135 0.737 0.992 Se
```

## Properties
- Formation energy (no corrections): -0.6492 eV per atom
- Symmetry: C2/m (12)
- Theoretical density: 5.71 g cm⁻³
- Crystal system: monoclinic
- Size of the total moment: 0.000 μB/atom

=====

[3]
Li4Tm3SnSe8 | GGA-PBE | relaxed

Structure (POSCAR):
```
Li4Tm3SnSe8
1.0
8.061 0.000 0.000
0.000 7.983 -0.064
-4.031 -4.027 5.702
Li Tm Sn Se
4 3 1 8
Direct
0.500 0.000 0.000 Li
0.500 0.000 0.500 Li
0.000 0.000 0.000 Li
0.000 0.000 0.500 Li
0.500 0.500 0.000 Tm
0.500 0.500 0.500 Tm
0.000 0.500 0.500 Tm
0.000 0.500 0.000 Sn
0.252 0.752 0.000 Se
0.252 0.752 0.503 Se
0.250 0.250 0.500 Se
0.749 0.752 0.000 Se
0.251 0.248 0.000 Se
0.750 0.750 0.500 Se
0.748 0.248 0.497 Se
0.748 0.248 0.000 Se
```

## Properties
- Formation energy (no corrections): -1.4352 eV per atom
- Symmetry: R-3m (166)
- DOS at the Fermi energy: 1.86 states/eV/cell
- Theoretical density: 5.85 g cm⁻³
- Crystal system: trigonal
- Size of the total moment: 0.000 μB/atom

=====

Number 1: DFT total energy -4.491 eV/atom. Number 2: DFT total energy -3.700 eV/atom. Number 3: DFT total energy -4.745 eV/atom.